## K3MoBr2F6 (PBE with a Hubbard U)

Data for crystalline K3MoBr2F6 at its relaxed geometry.

Structure (POSCAR):
```
K3MoBr2F6
1.0
-2.500 -0.786 -4.350
3.057 -7.123 -0.470
-7.563 0.674 4.747
K Mo Br F
3 1 2 6
Direct
0.000 0.500 0.000 K
0.500 0.500 0.500 K
0.500 0.000 0.500 K
0.500 0.000 0.000 Mo
0.999 0.695 0.390 Br
0.001 0.305 0.610 Br
0.746 0.207 0.050 F
0.254 0.793 0.950 F
0.579 0.883 0.765 F
0.421 0.117 0.235 F
0.254 0.157 0.950 F
0.746 0.843 0.050 F
```

Magnetization ... 1.00 μB per formula unit
E_tot ... -4.371 eV/atom
Theoretical density ... 2.545 Mg/m³